(1)
MgSc | PBE | relaxed

Lattice parameters (Å, degrees): 11.9752 3.1968 7.6637 90.00 104.72 90.00
With the nearest neighbours (Å) after each atom.
Space group Cm (No. 8)
Inequivalent atoms, fractional coordinates:
Mg 0.0000 0.0000 0.0000 [2 per cell]  7 Sc 3.17-3.31, 5 Mg 3.19-3.21
Mg 0.0595 0.0000 0.6141 [2 per cell]  6 Mg 3.20-3.28, 6 Sc 3.22-3.24
Mg 0.3401 0.0000 0.6695 [2 per cell]  7 Mg 3.19-3.28, 5 Sc 3.21-3.30
Sc 0.1750 0.5000 0.3403 [2 per cell]  6 Sc 3.16-3.26, 6 Mg 3.21-3.31
Sc 0.2195 0.5000 0.9510 [2 per cell]  5 Sc 3.16-3.25, 7 Mg 3.18-3.30
Sc 0.3950 0.0000 0.2777 [2 per cell]  5 Mg 3.17-3.24, 7 Sc 3.20-3.26

Computed properties:
The value obtained for the formation energy is -0.01 eV per atom. The electronic total energy comes out at -3.97 eV per atom.

(2)
KGe3Os | PBE | relaxed

Lattice parameters (Å, degrees): 4.9261 4.9261 4.9261 90.00 90.00 90.00
With the nearest neighbours (Å) after each atom.
Space group Pm-3m (No. 221)
Inequivalent atoms, fractional coordinates:
K 0.0000 0.0000 0.0000 [1 per cell]  12 Ge 3.48
Ge 0.0000 0.5000 0.5000 [3 per cell]  2 Os 2.46
Os 0.5000 0.5000 0.5000 [1 per cell]  6 Ge 2.46

Computed properties:
The value obtained for the formation energy is 0.32 eV per atom. The electronic total energy comes out at -4.91 eV per atom. The offset from the most stable computed form comes out at 0 meV/atom.

(3)
Sc5Zn2Pd12 | PBE | relaxed

Lattice parameters (Å, degrees): 15.6717 5.4829 9.3771 90.00 119.77 90.00
With the nearest neighbours (Å) after each atom.
Space group C2/m (No. 12)
Inequivalent atoms, fractional coordinates:
Sc 0.0000 0.0000 0.0000 [2 per cell]  4 Pd 2.65
Sc 0.1816 0.5000 0.0039 [4 per cell]  7 Pd 2.63-2.71
Sc 0.1893 0.5000 0.5180 [4 per cell]  10 Pd 2.77-2.92
Zn 0.0000 0.2580 0.5000 [4 per cell]  6 Pd 2.50-2.76, 1 Zn 2.65
Pd 0.0025 0.5000 0.2445 [4 per cell]  2 Sc 2.66-2.77, 2 Zn 2.76, 2 Pd 2.81
Pd 0.1156 0.0000 0.4370 [4 per cell]  2 Zn 2.59, 2 Pd 2.74, 1 Sc 2.87
Pd 0.1527 0.2532 0.2222 [8 per cell]  4 Sc 2.65-2.88, 5 Pd 2.71-2.81
Pd 0.1651 0.2472 0.7532 [8 per cell]  1 Zn 2.50, 3 Sc 2.63-2.79, 3 Pd 2.71-2.77

Computed properties:
The value obtained for the formation energy is -0.51 eV per atom. The electronic total energy comes out at -5.59 eV per atom.

(4)
K3SnI4 | PBE | relaxed

Lattice parameters (Å, degrees): 13.9857 7.0995 7.1013 90.00 90.00 90.00
With the nearest neighbours (Å) after each atom.
Space group Pmn2_1 (No. 31)
Inequivalent atoms, fractional coordinates:
K 0.0000 0.2481 0.0000 [2 per cell]  6 I 3.55-3.69
K 0.2501 0.2506 0.4993 [4 per cell]  6 I 3.50-3.56
Sn 0.0000 0.7487 0.5012 [2 per cell]  6 I 3.30-3.56
I 0.0000 0.2482 0.5003 [2 per cell]  4 K 3.50-3.55, 2 Sn 3.55
I 0.0000 0.7482 0.0022 [2 per cell]  4 K 3.50-3.55, 2 Sn 3.54-3.56
I 0.2362 0.7504 0.4995 [4 per cell]  1 Sn 3.30, 5 K 3.55-3.69

Computed properties:
For the uncorrected formation energy, the calculation gives -1058 meV per atom. The electronic total energy comes out at -2.74 eV per atom.

(5)
Rb2AgAuO | PBE | relaxed

Lattice parameters (Å, degrees): 5.9294 5.9294 4.1485 90.00 90.00 90.00
With the nearest neighbours (Å) after each atom.
Space group P4/mmm (No. 123)
Inequivalent atoms, fractional coordinates:
Rb 0.0000 0.5000 0.0000 [2 per cell]  2 O 2.96
Ag 0.0000 0.0000 0.5000 [1 per cell]  2 O 2.07
Au 0.5000 0.5000 0.5000 [1 per cell]  8 Rb 3.62
O 0.0000 0.0000 0.0000 [1 per cell]  2 Ag 2.07

Computed properties:
For the uncorrected formation energy, the calculation gives -515 meV per atom. The electronic total energy comes out at -3.12 eV per atom.

(6)
Tl2AsPdO4 | PBE | relaxed

Lattice parameters (Å, degrees): 5.9052 11.5620 18.4954 90.00 90.00 90.00
With the nearest neighbours (Å) after each atom.
Space group Fddd (No. 70, origin choice 2)
Inequivalent atoms, fractional coordinates:
Tl 0.1250 0.1250 0.3008 [16 per cell]  2 O 2.84
As 0.1250 0.1250 0.6250 [8 per cell]  4 O 1.74
Pd 0.1250 0.1250 0.1250 [8 per cell]  4 O 2.28
O 0.0633 0.2810 0.8323 [32 per cell]  1 As 1.74

Computed properties:
For the uncorrected formation energy, the calculation gives -677 meV per atom. The electronic total energy comes out at -4.98 eV per atom.

(7)
HfZnSe3 | PBE | relaxed

Lattice parameters (Å, degrees): 4.8167 4.8167 4.8167 90.00 90.00 90.00
With the nearest neighbours (Å) after each atom.
Space group Pm-3m (No. 221)
Inequivalent atoms, fractional coordinates:
Hf 0.0000 0.0000 0.0000 [1 per cell]  12 Se 3.41
Zn 0.5000 0.5000 0.5000 [1 per cell]  6 Se 2.41
Se 0.0000 0.5000 0.5000 [3 per cell]  2 Zn 2.41

Computed properties:
For the uncorrected formation energy, the calculation gives 225 meV per atom. The electronic total energy comes out at -4.11 eV per atom. The offset from the most stable computed form comes out at 545 meV/atom.

(8)
LiCd12Hg16 | PBE | relaxed

Lattice parameters (Å, degrees): 12.2437 14.6653 10.0546 90.00 127.13 90.00
With the nearest neighbours (Å) after each atom.
Space group Cm (No. 8)
Inequivalent atoms, fractional coordinates:
Li 0.0000 0.0000 0.0000 [2 per cell]  7 Hg 2.83-3.05
Cd 0.0126 0.0000 0.5187 [2 per cell]  3 Cd 3.03-3.12, 7 Hg 3.06-3.26
Cd 0.1216 0.2938 0.9462 [4 per cell]  6 Hg 3.01-3.34, 3 Cd 3.03-3.31
Cd 0.1358 0.1016 0.3648 [4 per cell]  3 Cd 2.98-3.12, 6 Hg 2.99-3.27, 1 Li 3.33
Cd 0.1861 0.3936 0.7248 [4 per cell]  5 Hg 2.98-3.16, 3 Cd 3.12-3.14
Cd 0.2011 0.0000 0.8968 [2 per cell]  6 Hg 3.03-3.12, 3 Cd 3.03-3.08, 1 Li 3.20
Cd 0.4066 0.2058 0.5714 [4 per cell]  5 Hg 2.96-3.19, 3 Cd 3.03-3.14
Cd 0.4743 0.1056 0.0950 [4 per cell]  7 Hg 3.00-3.27, 3 Cd 3.08-3.31
Hg 0.0218 0.5000 0.8673 [2 per cell]  6 Cd 3.10-3.47, 2 Hg 3.11
Hg 0.0425 0.2834 0.3957 [4 per cell]  4 Cd 2.99-3.10, 3 Hg 3.18-3.29
Hg 0.1453 0.5000 0.4255 [2 per cell]  4 Cd 3.07-3.15, 7 Hg 3.34-3.40
Hg 0.2466 0.1270 0.1634 [4 per cell]  4 Cd 3.01-3.27, 1 Li 3.05, 2 Hg 3.18-3.24
Hg 0.2503 0.1541 0.7247 [4 per cell]  5 Cd 3.09-3.26, 2 Hg 3.29-3.35
Hg 0.2877 0.3570 0.3125 [4 per cell]  4 Cd 3.04-3.11, 4 Hg 3.19-3.39
Hg 0.3395 0.5000 0.1164 [2 per cell]  1 Li 2.83, 1 Hg 3.11
Hg 0.4054 0.0000 0.4942 [2 per cell]  6 Cd 3.10-3.16, 4 Hg 3.11-3.40
Hg 0.4267 0.3069 0.0331 [4 per cell]  4 Cd 2.98-3.29, 1 Li 3.05, 2 Hg 3.29-3.31
Hg 0.4337 0.3860 0.7211 [4 per cell]  1 Li 2.93, 4 Cd 2.96-3.20

Computed properties:
The value obtained for the formation energy is 0.00 eV per atom. The electronic total energy comes out at -0.61 eV per atom.

(9)
NpNb2W | PBE | relaxed

Lattice parameters (Å, degrees): 6.6551 6.6551 6.6551 90.00 90.00 90.00
With the nearest neighbours (Å) after each atom.
Space group Fm-3m (No. 225)
Inequivalent atoms, fractional coordinates:
Np 0.0000 0.0000 0.0000 [4 per cell]  8 Nb 2.88
Nb 0.2500 0.2500 0.2500 [8 per cell]  4 W 2.88, 4 Np 2.88
W 0.0000 0.0000 0.5000 [4 per cell]  8 Nb 2.88

Computed properties:
The value obtained for the formation energy is 0.30 eV per atom. The electronic total energy comes out at -11.21 eV per atom. The offset from the most stable computed form comes out at 32 meV/atom.

(10)
In2NiHg | PBE | relaxed

Lattice parameters (Å, degrees): 4.2044 3.0950 7.0800 90.00 107.16 90.00
With the nearest neighbours (Å) after each atom.
Space group Pm (No. 6)
Inequivalent atoms, fractional coordinates:
In 0.0000 0.0000 0.0000 [1 per cell]  1 Ni 2.64
In 0.3171 0.5000 0.6359 [1 per cell]  4 Ni 2.62
Ni 0.8043 0.0000 0.6103 [1 per cell]  5 In 2.62-2.64, 2 Hg 2.78
Hg 0.6340 0.5000 0.2694 [1 per cell]  2 Ni 2.78, 2 Hg 3.09

Computed properties:
The value obtained for the formation energy is 0.01 eV per atom. The electronic total energy comes out at -2.88 eV per atom.

(11)
Tb15Pr4Sm | PBE | relaxed

Lattice parameters (Å, degrees): 5.0908 5.0908 25.3396 90.00 90.00 90.00
With the nearest neighbours (Å) after each atom.
Space group P4/mmm (No. 123)
Inequivalent atoms, fractional coordinates:
Tb 0.0000 0.0000 0.0000 [1 per cell]  8 Tb 3.58, 4 Sm 3.60
Tb 0.0000 0.0000 0.1993 [2 per cell]  8 Tb 3.59-3.60, 4 Pr 3.60
Tb 0.0000 0.0000 0.3998 [2 per cell]  8 Tb 3.60, 4 Pr 3.60
Tb 0.0000 0.5000 0.0991 [4 per cell]  8 Tb 3.58-3.60, 2 Sm 3.58, 2 Pr 3.60
Tb 0.0000 0.5000 0.2996 [4 per cell]  4 Pr 3.59-3.60, 8 Tb 3.60
Tb 0.0000 0.5000 0.5000 [2 per cell]  8 Tb 3.60, 4 Pr 3.60
Pr 0.5000 0.5000 0.1995 [2 per cell]  12 Tb 3.59-3.60
Pr 0.5000 0.5000 0.3998 [2 per cell]  12 Tb 3.60
Sm 0.5000 0.5000 0.0000 [1 per cell]  12 Tb 3.58-3.60

Computed properties:
The value obtained for the formation energy is 0.02 eV per atom. The electronic total energy comes out at -4.65 eV per atom.

(12)
PmNd2Ho3As6 | PBE | relaxed

Lattice parameters (Å, degrees): 18.2167 4.1839 8.3581 90.00 103.20 90.00
With the nearest neighbours (Å) after each atom.
Space group C2/m (No. 12)
Inequivalent atoms, fractional coordinates:
Pm 0.0000 0.0000 0.0000 [2 per cell]  6 As 2.99
Nd 0.1665 0.5000 0.3329 [4 per cell]  6 As 3.00
Ho 0.0000 0.0000 0.5000 [2 per cell]  6 As 2.91-2.92
Ho 0.1667 0.5000 0.8333 [4 per cell]  6 As 2.91-2.92
As 0.0024 0.5000 0.7456 [4 per cell]  3 Ho 2.91-2.92, 2 Pm 2.99, 1 Nd 3.00
As 0.1643 0.0000 0.5891 [4 per cell]  3 Ho 2.91-2.92, 3 Nd 3.00
As 0.1685 0.0000 0.0769 [4 per cell]  3 Ho 2.91-2.92, 1 Pm 2.99, 2 Nd 3.00

Computed properties:
The value obtained for the formation energy is -1.52 eV per atom. The electronic total energy comes out at -6.18 eV per atom.

Which value of electronic total energy does entry 8 give?
-0.61 eV per atom

Look up the electronic total energy of the eighth one.
-0.61 eV per atom